1.
Entry from the Alexandria database: BeSi2S after structural relaxation (PBE).

Values from the calculation:
crystal system	cubic
calculated volume	54.82	Å³ per cell
energy relative to the lowest polymorph listed for this composition	2.36	eV/f.u.
E_form (uncorrected)	761	meV/atom

Geometry as CIF:
```
data_BeSi2S
_symmetry_space_group_name_H-M 'P 1'
_symmetry_Int_Tables_number 1
_symmetry_space_group_name_Hall 'P 1'
_cell_length_a 4.2639
_cell_length_b 4.2639
_cell_length_c 4.2639
_cell_angle_alpha 60.00
_cell_angle_beta 60.00
_cell_angle_gamma 60.00
loop_
_atom_site_label
_atom_site_type_symbol
_atom_site_fract_x
_atom_site_fract_y
_atom_site_fract_z
Be1 Be 0.0000 0.0000 0.0000
S1 S 0.5000 0.5000 0.5000
Si1 Si 0.2500 0.2500 0.2500
Si2 Si 0.7500 0.7500 0.7500
```

***

2.
Entry from the Alexandria database: Be2SiS after structural relaxation (PBE).

Values from the calculation:
crystal system	tetragonal
calculated volume	125.06	Å³ per cell
energy relative to the lowest polymorph listed for this composition	0.00	eV/f.u.
E_form (uncorrected)	4	meV/atom

Geometry as CIF:
```
data_Be2SiS
_symmetry_space_group_name_H-M 'P 1'
_symmetry_Int_Tables_number 1
_symmetry_space_group_name_Hall 'P 1'
_cell_length_a 5.2585
_cell_length_b 5.2585
_cell_length_c 5.8548
_cell_angle_alpha 63.32
_cell_angle_beta 63.32
_cell_angle_gamma 90.00
loop_
_atom_site_label
_atom_site_type_symbol
_atom_site_fract_x
_atom_site_fract_y
_atom_site_fract_z
Be1 Be 0.6602 0.1250 0.2500
Be2 Be 0.0898 0.6250 0.2500
Be3 Be 0.3750 0.3398 0.7500
Be4 Be 0.8750 0.9102 0.7500
S1 S 0.0000 0.0000 0.0000
S2 S 0.7500 0.2500 0.5000
Si1 Si 0.5000 0.5000 0.0000
Si2 Si 0.2500 0.7500 0.5000
```

***

3.
Entry from the Alexandria database: BeSi2S after structural relaxation (PBE).

Values from the calculation:
crystal system	tetragonal
calculated volume	141.77	Å³ per cell
energy relative to the lowest polymorph listed for this composition	0.00	eV/f.u.
E_form (uncorrected)	171	meV/atom

Geometry as CIF:
```
data_BeSi2S
_symmetry_space_group_name_H-M 'P 1'
_symmetry_Int_Tables_number 1
_symmetry_space_group_name_Hall 'P 1'
_cell_length_a 5.2081
_cell_length_b 5.2081
_cell_length_c 6.3936
_cell_angle_alpha 65.97
_cell_angle_beta 65.97
_cell_angle_gamma 90.00
loop_
_atom_site_label
_atom_site_type_symbol
_atom_site_fract_x
_atom_site_fract_y
_atom_site_fract_z
Be1 Be 0.5000 0.5000 0.0000
Be2 Be 0.2500 0.7500 0.5000
S1 S 0.0000 0.0000 0.0000
S2 S 0.7500 0.2500 0.5000
Si1 Si 0.5893 0.1250 0.2500
Si2 Si 0.1607 0.6250 0.2500
Si3 Si 0.3750 0.4107 0.7500
Si4 Si 0.8750 0.8393 0.7500
```

***

4.
Entry from the Alexandria database: BeSi3S after structural relaxation (PBE).

Values from the calculation:
crystal system	cubic
calculated volume	91.05	Å³ per cell
energy relative to the lowest polymorph listed for this composition	2.34	eV/f.u.
E_form (uncorrected)	1200	meV/atom

Geometry as CIF:
```
data_BeSi3S
_symmetry_space_group_name_H-M 'P 1'
_symmetry_Int_Tables_number 1
_symmetry_space_group_name_Hall 'P 1'
_cell_length_a 4.4987
_cell_length_b 4.4987
_cell_length_c 4.4987
_cell_angle_alpha 90.00
_cell_angle_beta 90.00
_cell_angle_gamma 90.00
loop_
_atom_site_label
_atom_site_type_symbol
_atom_site_fract_x
_atom_site_fract_y
_atom_site_fract_z
Be1 Be 0.5000 0.5000 0.5000
S1 S 0.0000 0.0000 0.0000
Si1 Si 0.0000 0.5000 0.0000
Si2 Si 0.0000 0.0000 0.5000
Si3 Si 0.5000 0.0000 0.0000
```

***

Question: E_form (uncorrected) of number 3 (BeSi2S)?
Answer: 171 meV/atom

***

Copy entry 2 word for word.
Entry from the Alexandria database: Be2SiS after structural relaxation (PBE).

Values from the calculation:
crystal system	tetragonal
calculated volume	125.06	Å³ per cell
energy relative to the lowest polymorph listed for this composition	0.00	eV/f.u.
E_form (uncorrected)	4	meV/atom

Geometry as CIF:
```
data_Be2SiS
_symmetry_space_group_name_H-M 'P 1'
_symmetry_Int_Tables_number 1
_symmetry_space_group_name_Hall 'P 1'
_cell_length_a 5.2585
_cell_length_b 5.2585
_cell_length_c 5.8548
_cell_angle_alpha 63.32
_cell_angle_beta 63.32
_cell_angle_gamma 90.00
loop_
_atom_site_label
_atom_site_type_symbol
_atom_site_fract_x
_atom_site_fract_y
_atom_site_fract_z
Be1 Be 0.6602 0.1250 0.2500
Be2 Be 0.0898 0.6250 0.2500
Be3 Be 0.3750 0.3398 0.7500
Be4 Be 0.8750 0.9102 0.7500
S1 S 0.0000 0.0000 0.0000
S2 S 0.7500 0.2500 0.5000
Si1 Si 0.5000 0.5000 0.0000
Si2 Si 0.2500 0.7500 0.5000
```